Entry from Alexandria via LeMat-Bulk: a PBEsol-optimized structure of Ta3B4 (meta-GGA SCAN).

## Properties
Density of states at the Fermi level   1.66 states/eV/f.u.
DFT formation energy   -0.762 eV per atom

a b c (Å): 3.1253 3.2764 13.9695
angles (deg): 90.00 90.00 90.00
Space group Immm (No. 71)
Asymmetric unit:
Ta1 0.0000 0.0000 0.0000 (multiplicity 2)
Ta2 0.0000 0.5000 0.3147 (multiplicity 4)
B1 0.0000 0.0000 0.4358 (multiplicity 4)
B2 0.0000 0.5000 0.1335 (multiplicity 4)